1.
## La3PtPbO (PBE-GGA)

Data for an optimized crystal structure of La3PtPbO.

Calculated values
N(E_F) in states/eV per cell: 9.04
Formation energy (no corrections) in meV/atom: -1529
DFT total energy in eV/atom: -6.44

Cell lengths 9.4542, 4.1575, 9.6746 Å; angles 90.00, 103.88, 90.00 degrees
With the nearest neighbours (Å) after each atom.
Fractional positions:
La 0.0631 0.2500 0.3402  3 Pt 2.95-2.97
La 0.3334 0.2500 0.9782  3 O 2.36-2.39
La 0.3785 0.7500 0.6510  1 O 2.40
La 0.6215 0.2500 0.3490  1 O 2.40
La 0.6666 0.7500 0.0218  3 O 2.36-2.39
La 0.9369 0.7500 0.6598  3 Pt 2.95-2.97
Pt 0.1566 0.2500 0.6558  6 La 2.95-3.17
Pt 0.8434 0.7500 0.3442  6 La 2.95-3.17
Pb 0.3209 0.7500 0.2718  7 La 3.39-3.58
Pb 0.6791 0.2500 0.7282  7 La 3.39-3.58
O 0.4169 0.7500 0.9054  4 La 2.36-2.40
O 0.5831 0.2500 0.0946  4 La 2.36-2.40



2.
## LaPuPb2O6 (PBE-GGA)

Data for an optimized crystal structure of LaPuPb2O6.

Calculated values
N(E_F) in states/eV per cell: 10.09
Formation energy (no corrections) in meV/atom: -2263
DFT total energy in eV/atom: -7.91

Cell lengths 6.1975, 6.2030, 6.2839 Å; angles 90.07, 119.52, 119.93 degrees
With the nearest neighbours (Å) after each atom.
Fractional positions:
La 0.0000 0.0000 0.0000  6 O 2.37-2.48
Pu 0.0163 0.5082 0.5237  6 O 2.16-2.17
Pb 0.4455 0.2232 0.6670  6 O 2.59-2.61
Pb 0.4528 0.7260 0.1809  6 O 2.60-2.65
O 0.1347 0.7738 0.3156  1 Pu 2.17
O 0.1430 0.8354 0.7902  1 Pu 2.16, 1 La 2.37
O 0.4837 0.6476 0.7897  1 Pu 2.16, 1 La 2.37
O 0.5424 0.3602 0.3170  1 Pu 2.17
O 0.9565 0.1826 0.3167  1 Pu 2.16
O 0.9567 0.3084 0.7919  1 Pu 2.16, 1 La 2.37



3.
## LaPuPbO6 (PBE-GGA)

Data for an optimized crystal structure of LaPuPbO6.

Calculated values
Formation energy (no corrections) in meV/atom: -2384
DFT total energy in eV/atom: -8.24

Cell lengths 6.0856, 6.0856, 9.6725 Å; angles 90.00, 90.00, 120.00 degrees
With the nearest neighbours (Å) after each atom.
Fractional positions:
La 0.3333 0.6667 0.2500  6 O 2.42
La 0.6667 0.3333 0.7500  6 O 2.42
Pu 0.3333 0.6667 0.7500  6 O 2.02
Pu 0.6667 0.3333 0.2500  6 O 2.02
Pb 0.0000 0.0000 0.0000  6 O 2.61
Pb 0.0000 0.0000 0.5000  6 O 2.61
O 0.0482 0.3895 0.6388  1 Pu 2.02
O 0.0482 0.6587 0.8612  1 Pu 2.02
O 0.3413 0.3895 0.8612  1 Pu 2.02
O 0.3413 0.9518 0.6388  1 Pu 2.02
O 0.3895 0.0482 0.1388  1 Pu 2.02
O 0.3895 0.3413 0.3612  1 Pu 2.02
O 0.6105 0.6587 0.6388  1 Pu 2.02
O 0.6105 0.9518 0.8612  1 Pu 2.02
O 0.6587 0.0482 0.3612  1 Pu 2.02
O 0.6587 0.6105 0.1388  1 Pu 2.02
O 0.9518 0.3413 0.1388  1 Pu 2.02
O 0.9518 0.6105 0.3612  1 Pu 2.02



4.
## RbLaPbO3 (PBE-GGA)

Data for an optimized crystal structure of RbLaPbO3.

Calculated values
N(E_F) in states/eV per cell: 0.00
Formation energy (no corrections) in meV/atom: -2112
DFT total energy in eV/atom: -6.19

Cell lengths 7.6609, 3.7361, 10.0823 Å; angles 90.00, 101.07, 90.00 degrees
With the nearest neighbours (Å) after each atom.
Fractional positions:
Rb 0.0779 0.2500 0.3375  4 O 2.94-3.00
Rb 0.9221 0.7500 0.6625  4 O 2.94-3.00
La 0.4276 0.7500 0.6387  6 O 2.39-2.49
La 0.5724 0.2500 0.3613  6 O 2.39-2.49
Pb 0.2946 0.2500 0.9185  4 O 2.30-2.43
Pb 0.7054 0.7500 0.0815  4 O 2.30-2.43
O 0.2303 0.2500 0.6738  1 Pb 2.42, 2 La 2.47
O 0.3792 0.7500 0.3972  3 La 2.39-2.45
O 0.4584 0.7500 0.8896  3 Pb 2.30-2.43, 1 La 2.49
O 0.5416 0.2500 0.1104  3 Pb 2.30-2.43, 1 La 2.49
O 0.6208 0.2500 0.6028  3 La 2.39-2.45
O 0.7697 0.7500 0.3262  1 Pb 2.42, 2 La 2.47



> Which of these has the highest formation energy (no corrections)?

La3PtPbO



> What is the DFT total energy in the fourth record?

-6.19 eV/atom



> Which formula does entry 1 have?

La3PtPbO



> The lowest DFT total energy belongs to which entry?

LaPuPbO6